No. 1
DFT (PBE-GGA) results for a geometry-optimized Tl2TcAu structure.

Output
Calculated total energy = -4.1228 eV per atom
Magnetic moment = 0.00 Bohr magnetons per cell
Energy above the most stable polymorph in this dataset = 0 meV/atom

abc: 6.8770 6.8770 6.8770
angles: 154.66 140.03 47.92
Closest atoms and distances in Å follow each position.
Fractional coordinates of all 4 atoms:
Au 0.4380 0.4380 0.0000  2 Tc 2.80, 2 Au 3.02, 4 Tl 3.14
Tc 0.2500 0.7500 0.5000  6 Tl 2.80-2.91, 2 Au 2.80, 2 Tc 3.02
Tl 0.0517 0.0517 0.0000  2 Tc 2.91, 2 Tl 3.02, 4 Au 3.14
Tl 0.7604 0.2604 0.5000  4 Tc 2.80, 2 Tl 3.02

No. 2
DFT (PBE-GGA) results for a geometry-optimized PmAl8Fe4 structure.

Output
Calculated total energy = -5.6848 eV per atom
Magnetic moment = 5.68 Bohr magnetons per cell

abc: 5.0347 6.6840 6.6840
angles: 81.85 67.88 67.88
Closest atoms and distances in Å follow each position.
Fractional coordinates of all 13 atoms:
Pm 0.0000 0.0000 0.0000  12 Al 2.99-3.19, 8 Fe 3.34
Al 0.0000 0.3420 0.6580  4 Fe 2.65, 5 Al 2.72-2.79
Al 0.0000 0.6580 0.3420  4 Fe 2.65, 5 Al 2.72-2.79
Al 0.3420 0.6580 0.6580  4 Fe 2.65, 5 Al 2.72-2.79
Al 0.6580 0.3420 0.3420  4 Fe 2.65, 5 Al 2.72-2.79
Al 0.5000 0.7768 0.2232  4 Fe 2.54, 6 Al 2.72-2.79
Al 0.5000 0.2232 0.7768  4 Fe 2.54, 6 Al 2.72-2.79
Al 0.2768 0.2232 0.2232  4 Fe 2.54, 6 Al 2.72-2.79
Al 0.7232 0.7768 0.7768  4 Fe 2.54, 6 Al 2.72-2.79
Fe 0.0000 0.0000 0.5000  2 Fe 2.52, 8 Al 2.54-2.65
Fe 0.5000 0.0000 0.5000  2 Fe 2.52, 8 Al 2.54-2.65
Fe 0.0000 0.5000 0.0000  2 Fe 2.52, 8 Al 2.54-2.65
Fe 0.5000 0.5000 0.0000  2 Fe 2.52, 8 Al 2.54-2.65

No. 3
DFT (PBE-GGA) results for a geometry-optimized CaIrSe structure.

Output
Calculated total energy = -4.9637 eV per atom
Magnetic moment = 0.00 Bohr magnetons per cell
Uncorrected formation energy = -0.18 eV/atom
Energy above the most stable polymorph in this dataset = 505 meV/atom

abc: 5.0885 5.0885 5.0885
angles: 140.32 130.10 65.56
Closest atoms and distances in Å follow each position.
Fractional coordinates of all 3 atoms:
Ca 0.9893 0.9893 0.0000  5 Se 2.94-3.06, 5 Ir 2.95-3.22
Ir 0.3654 0.3654 0.0000  1 Se 2.40
Se 0.6453 0.6453 0.0000  1 Ir 2.40

No. 4
DFT (PBE-GGA) results for a geometry-optimized KAs2Ir structure.

Output
Calculated total energy = -4.8719 eV per atom
Magnetic moment = 0.00 Bohr magnetons per cell
Energy above the most stable polymorph in this dataset = 250 meV/atom

abc: 3.2210 3.2210 7.9516
angles: 90.00 90.00 90.00
Closest atoms and distances in Å follow each position.
Fractional coordinates of all 4 atoms:
As 0.0000 0.0000 0.0706  4 Ir 2.69, 1 As 2.85
As 0.0000 0.0000 0.4294  4 Ir 2.69, 1 As 2.85
Ir 0.5000 0.5000 0.2500  8 As 2.69
K 0.5000 0.5000 0.7500  4 K 3.22, 8 As 3.42

No. 5
DFT (PBE-GGA) results for a geometry-optimized ZnPdRh structure.

Output
Calculated total energy = -4.8404 eV per atom
Magnetic moment = 0.00 Bohr magnetons per cell
Energy above the most stable polymorph in this dataset = 28 meV/atom

abc: 4.4539 8.2311 4.7421
angles: 90.00 90.00 90.00
Closest atoms and distances in Å follow each position.
Fractional coordinates of all 12 atoms:
Zn 0.0000 0.1687 0.9663  4 Rh 2.70-2.73, 5 Pd 2.71-2.79, 3 Zn 2.72-2.78
Zn 0.0000 0.8313 0.9663  4 Rh 2.70-2.73, 5 Pd 2.71-2.79, 3 Zn 2.72-2.78
Zn 0.0000 0.6687 0.4663  4 Rh 2.70-2.73, 5 Pd 2.71-2.79, 3 Zn 2.72-2.78
Zn 0.0000 0.3313 0.4663  4 Rh 2.70-2.73, 5 Pd 2.71-2.79, 3 Zn 2.72-2.78
Rh 0.5000 0.6716 0.7998  3 Rh 2.70-2.82, 5 Pd 2.70-2.78, 4 Zn 2.70-2.73
Rh 0.5000 0.3284 0.7998  3 Rh 2.70-2.82, 5 Pd 2.70-2.78, 4 Zn 2.70-2.73
Rh 0.5000 0.1716 0.2998  3 Rh 2.70-2.82, 5 Pd 2.70-2.78, 4 Zn 2.70-2.73
Rh 0.5000 0.8284 0.2998  3 Rh 2.70-2.82, 5 Pd 2.70-2.78, 4 Zn 2.70-2.73
Pd 0.0000 0.0000 0.4570  6 Zn 2.71-2.79, 4 Rh 2.74, 2 Pd 2.77
Pd 0.0000 0.5000 0.9570  6 Zn 2.71-2.79, 4 Rh 2.74, 2 Pd 2.77
Pd 0.5000 0.0000 0.8052  6 Rh 2.70-2.78, 4 Zn 2.73, 2 Pd 2.77
Pd 0.5000 0.5000 0.3052  6 Rh 2.70-2.78, 4 Zn 2.73, 2 Pd 2.77

No. 6
DFT (PBE-GGA) results for a geometry-optimized TaMn2FeC structure.

Output
Calculated total energy = -9.7370 eV per atom
Magnetic moment = 0.00 Bohr magnetons per cell

abc: 3.8277 3.8277 3.7678
angles: 90.00 90.00 90.00
Closest atoms and distances in Å follow each position.
Fractional coordinates of all 5 atoms:
C 0.0000 0.0000 0.0000  2 Fe 1.88, 4 Mn 1.91
Mn 0.0000 0.5000 0.0000  2 C 1.91
Mn 0.5000 0.0000 0.0000  2 C 1.91
Fe 0.0000 0.0000 0.5000  2 C 1.88
Ta 0.5000 0.5000 0.5000  8 Mn 2.69, 4 Fe 2.71

No. 7
DFT (PBE-GGA) results for a geometry-optimized LaTh2F11 structure.

Output
Calculated total energy = -7.0189 eV per atom
Magnetic moment = 0.00 Bohr magnetons per cell
Uncorrected formation energy = -4.14 eV/atom

abc: 8.6490 9.0299 9.0299
angles: 73.88 61.39 61.39
Closest atoms and distances in Å follow each position.
Fractional coordinates of all 28 atoms:
La 0.7500 0.7500 0.7500  8 F 2.44-2.46
La 0.2500 0.2500 0.2500  8 F 2.44-2.46
Th 0.6455 0.6824 0.3176  7 F 2.27-2.36
Th 0.3545 0.3176 0.6824  7 F 2.27-2.36
Th 0.8545 0.1824 0.8176  7 F 2.27-2.36
Th 0.1455 0.8176 0.1824  7 F 2.27-2.36
F 0.6448 0.7103 0.5600  1 Th 2.27, 1 La 2.46
F 0.3552 0.2897 0.4400  1 Th 2.27, 1 La 2.46
F 0.0848 0.5600 0.7103  1 Th 2.27, 1 La 2.46
F 0.8552 0.9400 0.7897  1 Th 2.27, 1 La 2.46
F 0.9152 0.4400 0.2897  1 Th 2.27, 1 La 2.46
F 0.1448 0.0600 0.2103  1 Th 2.27, 1 La 2.46
F 0.4152 0.7897 0.9400  1 Th 2.27, 1 La 2.46
F 0.5848 0.2103 0.0600  1 Th 2.27, 1 La 2.46
F 0.5000 0.5000 0.5000  2 Th 2.35, 2 F 2.56
F 0.0000 0.0000 0.0000  2 Th 2.35, 2 F 2.56
F 0.8749 0.7866 0.2134  2 Th 2.28-2.36, 1 F 2.56
F 0.1251 0.2134 0.7866  2 Th 2.28-2.36, 1 F 2.56
F 0.6251 0.2866 0.7134  2 Th 2.28-2.36, 1 F 2.56
F 0.3749 0.7134 0.2866  2 Th 2.28-2.36, 1 F 2.56
F 0.4561 0.9636 0.3155  1 Th 2.27, 1 La 2.44
F 0.5439 0.0364 0.6845  1 Th 2.27, 1 La 2.44
F 0.2648 0.3155 0.9636  1 Th 2.27, 1 La 2.44
F 0.0439 0.1845 0.5364  1 Th 2.27, 1 La 2.44
F 0.7352 0.6845 0.0364  1 Th 2.27, 1 La 2.44
F 0.9561 0.8155 0.4636  1 Th 2.27, 1 La 2.44
F 0.2352 0.5364 0.1845  1 Th 2.27, 1 La 2.44
F 0.7648 0.4636 0.8155  1 Th 2.27, 1 La 2.44

No. 8
DFT (PBE-GGA) results for a geometry-optimized CsCa3Y structure.

Output
Calculated total energy = -2.0664 eV per atom
Magnetic moment = 3.52 Bohr magnetons per cell
Energy above the most stable polymorph in this dataset = 0 meV/atom

abc: 6.6060 6.6060 6.6060
angles: 90.00 90.00 90.00
Closest atoms and distances in Å follow each position.
Fractional coordinates of all 5 atoms:
Cs 0.5000 0.5000 0.5000  12 Ca 4.67
Ca 0.0000 0.5000 0.0000  2 Y 3.30
Ca 0.0000 0.0000 0.5000  2 Y 3.30
Ca 0.5000 0.0000 0.0000  2 Y 3.30
Y 0.0000 0.0000 0.0000  6 Ca 3.30

No. 9
DFT (PBE-GGA) results for a geometry-optimized Ac2SmTl structure.

Output
Calculated total energy = -3.8404 eV per atom
Magnetic moment = 0.00 Bohr magnetons per cell
Energy above the most stable polymorph in this dataset = 121 meV/atom

abc: 5.9190 5.9190 5.9190
angles: 60.00 60.00 60.00
Closest atoms and distances in Å follow each position.
Fractional coordinates of all 4 atoms:
Ac 0.2500 0.2500 0.2500  4 Sm 3.62, 4 Tl 3.62
Ac 0.7500 0.7500 0.7500  4 Sm 3.62, 4 Tl 3.62
Tl 0.0000 0.0000 0.0000  8 Ac 3.62
Sm 0.5000 0.5000 0.5000  8 Ac 3.62

No. 10
DFT (PBE-GGA) results for a geometry-optimized PuZr2Ga structure.

Output
Calculated total energy = -8.8426 eV per atom
Magnetic moment = 5.55 Bohr magnetons per cell
Energy above the most stable polymorph in this dataset = 0 meV/atom

abc: 4.0985 4.5462 4.5462
angles: 90.00 90.00 90.00
Closest atoms and distances in Å follow each position.
Fractional coordinates of all 4 atoms:
Ga 0.5000 0.5000 0.5000  8 Zr 3.06, 4 Pu 3.21
Zr 0.0000 0.0000 0.5000  4 Ga 3.06, 4 Pu 3.06, 4 Zr 3.21
Zr 0.0000 0.5000 0.0000  4 Ga 3.06, 4 Pu 3.06, 4 Zr 3.21
Pu 0.5000 0.0000 0.0000  8 Zr 3.06, 4 Ga 3.21

No. 11
DFT (PBE-GGA) results for a geometry-optimized CePa2Se6 structure.

Output
Calculated total energy = -6.4667 eV per atom
Magnetic moment = 2.08 Bohr magnetons per cell
Uncorrected formation energy = -1.37 eV/atom
Energy above the most stable polymorph in this dataset = 42 meV/atom

abc: 5.4426 7.5781 8.1887
angles: 73.12 70.59 68.95
Closest atoms and distances in Å follow each position.
Fractional coordinates of all 9 atoms:
Ce 0.0000 0.5000 0.5000  8 Se 3.00-3.27
Pa 0.1827 0.7393 0.8954  6 Se 2.68-2.93
Pa 0.8173 0.2607 0.1046  6 Se 2.68-2.93
Se 0.7387 0.6448 0.8778  3 Pa 2.81-2.93
Se 0.2613 0.3552 0.1222  3 Pa 2.81-2.93
Se 0.9601 0.8599 0.2199  2 Pa 2.80, 1 Ce 3.00
Se 0.3683 0.7081 0.5554  1 Pa 2.68
Se 0.0399 0.1401 0.7801  2 Pa 2.80, 1 Ce 3.00
Se 0.6317 0.2919 0.4446  1 Pa 2.68

No. 12
DFT (PBE-GGA) results for a geometry-optimized BaRe2Br structure.

Output
Calculated total energy = -5.5558 eV per atom
Magnetic moment = 0.00 Bohr magnetons per cell
Uncorrected formation energy = 1.57 eV/atom
Energy above the most stable polymorph in this dataset = 1296 meV/atom

abc: 6.5644 6.5644 2.8424
angles: 90.00 90.00 129.83
Closest atoms and distances in Å follow each position.
Fractional coordinates of all 4 atoms:
Re 0.0000 0.0000 0.0000  4 Re 2.78-2.84
Re 0.5000 0.5000 0.0000  4 Re 2.78-2.84
Ba 0.5000 0.0000 0.5000  2 Br 2.78, 2 Ba 2.84
Br 0.0000 0.5000 0.5000  2 Ba 2.78, 2 Br 2.84

Q: What is the calculated total energy in the first record?
A: -4.1228 eV per atom

Q: Which value of calculated total energy does entry 10 give?
A: -8.8426 eV per atom

Q: Which of these has the lowest calculated total energy?
A: TaMn2FeC